The following is a DFT calculation (GGA-PBE) of crystalline Li3AcPm2Se6 at its relaxed geometry.

Cell lengths 7.390, 12.838, 6.975 Å; angles 90.00, 110.30, 90.00 degrees
Space group C2/m (No. 12)
One atom of each set of equivalent atoms:
Li: 0.000 0.000 0.000
Li: 0.000 0.324 0.000
Ac: 0.000 0.500 0.500
Pm: 0.000 0.166 0.500
Se: 0.239 0.000 0.762
Se: 0.242 0.173 0.241

Results
- Density of states at the Fermi level: 0.000 states/eV per atom
- Formation energy from raw total energies: -1672 meV per atom


The following is a DFT calculation (GGA-PBE) of crystalline ZrRe2Rh at its relaxed geometry.

Cell lengths 9.278, 2.869, 5.017 Å; angles 90.00, 99.66, 90.00 degrees
Space group Cm (No. 8)
One atom of each set of equivalent atoms:
Zr: 0.000 0.000 0.000
Re: 0.007 0.500 0.495
Re: 0.265 0.500 0.325
Rh: 0.246 0.000 0.780

Results
- Formation energy: -23 meV/atom
- Density of states at the Fermi level: 1.137 states/eV per atom
- Distance to the lowest polymorph of the same formula: 102 meV/atom


The following is a DFT calculation (GGA-PBE) of crystalline CsCrSe3 at its relaxed geometry.

Cell lengths 5.776, 5.776, 5.776 Å; angles 90.00, 90.00, 90.00 degrees
Space group Pm-3m (No. 221)
One atom of each set of equivalent atoms:
Cs: 0.000 0.000 0.000
Cr: 0.500 0.500 0.500
Se: 0.000 0.000 0.500

Results
- Density of states at the Fermi level: 2.273 states/eV per atom
- Distance to the lowest polymorph of the same formula: 1817 meV/atom
- Formation energy from raw total energies: 1323 meV per atom


The following is a DFT calculation (GGA-PBE) of crystalline Sr2NdBeO5 at its relaxed geometry.

Cell lengths 9.658, 7.464, 6.633 Å; angles 90.00, 90.00, 90.00 degrees
Space group Pnma (No. 62)
One atom of each set of equivalent atoms:
Sr: 0.173 0.025 0.087
Nd: 0.029 0.250 0.595
Be: 0.101 0.750 0.811
O: 0.013 0.750 0.031
O: 0.063 0.565 0.688
O: 0.223 0.750 0.325
O: 0.231 0.250 0.374

Results
- Density of states at the Fermi level: 0.591 states/eV per atom
- Formation energy from raw total energies: -2746 meV per atom


The following is a DFT calculation (GGA-PBE) of crystalline Ta2CrAs at its relaxed geometry.

Cell lengths 2.877, 4.360, 5.240 Å; angles 90.00, 94.37, 90.00 degrees
Space group P2/m (No. 10)
One atom of each set of equivalent atoms:
Ta: 0.214 0.000 0.238
Cr: 0.500 0.500 0.000
As: 0.000 0.500 0.500

Results
- Formation energy: 117 meV/atom
- Density of states at the Fermi level: 0.696 states/eV per atom


The following is a DFT calculation (GGA-PBE) of crystalline Li6Cd3Pb at its relaxed geometry.

Cell lengths 9.630, 15.735, 5.365 Å; angles 90.00, 90.00, 90.00 degrees
Space group Cmc2_1 (No. 36)
One atom of each set of equivalent atoms:
Li: 0.000 0.014 0.000
Li: 0.000 0.241 0.796
Li: 0.161 0.434 0.722
Li: 0.242 0.264 0.529
Cd: 0.000 0.364 0.229
Cd: 0.205 0.096 0.716
Pb: 0.000 0.162 0.298

Results
- Formation energy: -145 meV/atom
- Density of states at the Fermi level: 0.299 states/eV per atom


The following is a DFT calculation (GGA-PBE) of crystalline PaAsPdN at its relaxed geometry.

Cell lengths 3.360, 3.360, 12.169 Å; angles 90.00, 90.00, 90.00 degrees
Space group I4mm (No. 107)
One atom of each set of equivalent atoms:
Pa: 0.000 0.000 0.000
As: 0.000 0.000 0.277
Pd: 0.000 0.000 0.691
N: 0.000 0.000 0.512

Results
- Density of states at the Fermi level: 0.845 states/eV per atom
- Formation energy from raw total energies: -736 meV per atom


The following is a DFT calculation (GGA-PBE) of crystalline SrPuGaHg at its relaxed geometry.

Cell lengths 7.644, 7.644, 7.644 Å; angles 90.00, 90.00, 90.00 degrees
Space group F-43m (No. 216)
One atom of each set of equivalent atoms:
Sr: 0.000 0.000 0.000
Pu: 0.000 0.000 0.500
Ga: 0.250 0.250 0.750
Hg: 0.250 0.250 0.250

Results
- Formation energy: -230 meV/atom
- Density of states at the Fermi level: 3.026 states/eV per atom


The following is a DFT calculation (GGA-PBE) of crystalline Ba2LaTlS5 at its relaxed geometry.

Cell lengths 4.274, 18.609, 13.040 Å; angles 90.00, 90.00, 90.00 degrees
Space group Cmc2_1 (No. 36)
One atom of each set of equivalent atoms:
Ba: 0.000 0.115 0.000
Ba: 0.000 0.133 0.630
La: 0.000 0.211 0.332
Tl: 0.000 0.457 0.762
S: 0.000 0.048 0.376
S: 0.000 0.290 0.978
S: 0.000 0.318 0.684
S: 0.000 0.360 0.318
S: 0.000 0.494 0.085

Results
- Formation energy from raw total energies: -1596 meV per atom


The following is a DFT calculation (GGA-PBE) of crystalline Ac12InPb6 at its relaxed geometry.

Cell lengths 14.9543, 14.9543, 13.3789 Å; angles 90.00, 90.00, 120.00 degrees
Space group R-3 (No. 148, hexagonal axes)
One atom of each set of equivalent atoms:
Ac: 0.0296 0.8317 0.3863
Ac: 0.0558 0.8411 0.8853
In: 0.0000 0.0000 0.0000
Pb: 0.0413 0.7708 0.6442

Results
- Formation energy: -237 meV/atom
- Density of states at the Fermi level: 0.990 states/eV per atom


The following is a DFT calculation (GGA-PBE) of crystalline Pa2CrN5 at its relaxed geometry.

Cell lengths 9.270, 7.549, 6.644 Å; angles 90.00, 108.63, 90.00 degrees
Space group P2_1/c (No. 14)
One atom of each set of equivalent atoms:
Pa: 0.012 0.129 0.239
Pa: 0.388 0.161 0.107
Cr: 0.298 0.567 0.046
N: 0.102 0.116 0.948
N: 0.104 0.637 0.985
N: 0.275 0.115 0.367
N: 0.389 0.039 0.790
N: 0.427 0.714 0.019

Results
- Density of states at the Fermi level: 0.458 states/eV per atom
- Formation energy from raw total energies: -1224 meV per atom


The following is a DFT calculation (GGA-PBE) of crystalline YCuAg at its relaxed geometry.

Cell lengths 4.5269, 4.5269, 3.4823 Å; angles 90.00, 90.00, 120.00 degrees
Space group P-6m2 (No. 187)
One atom of each set of equivalent atoms:
Y: 0.0000 0.0000 0.0000
Cu: 0.6667 0.3333 0.5000
Ag: 0.3333 0.6667 0.5000

Results
- Formation energy: -229 meV/atom
- Density of states at the Fermi level: 0.613 states/eV per atom
- Distance to the lowest polymorph of the same formula: 52 meV/atom


Number 1: total magnetic moment 0.0 μB/f.u.. Number 2: total magnetic moment 0.0 μB/f.u.. Number 3: total magnetic moment 3.5 μB/f.u.. Number 4: total magnetic moment 1.0 μB/f.u.. Number 5: total magnetic moment 0.7 μB/f.u.. Number 6: total magnetic moment 0.0 μB/f.u.. Number 7: total magnetic moment 0.0 μB/f.u.. Number 8: total magnetic moment 5.6 μB/f.u.. Number 9: total magnetic moment 0.0 μB/f.u.. Number 10: total magnetic moment 0.0 μB/f.u.. Number 11: total magnetic moment 0.7 μB/f.u.. Number 12: total magnetic moment 0.0 μB/f.u..